Computed, not measured: a crystal of LaBeNi2 relaxed with PBEsol at the SCAN level of DFT.

Lattice parameters (Å, degrees): 3.8873 3.8873 14.4149 90.00 90.00 120.00
Space group R-3m (No. 166, hexagonal axes)
Unique sites:
La 0.0000 0.0000 0.0000 (multiplicity 3)
Be 0.0000 0.0000 0.5000 (multiplicity 3)
Ni 0.0000 0.0000 0.1970 (multiplicity 6)

Values from the calculation:
energy relative to the elements: -131.7 kJ/mol of formula units

Computed, not measured: a crystal of PAu3 relaxed with PBEsol at the SCAN level of DFT.

Lattice parameters (Å, degrees): 7.437 7.619 5.203 90.00 90.00 90.00
Space group Pnma (No. 62)
Unique sites:
P 0.207 0.250 0.037 (multiplicity 4)
Au 0.036 0.750 0.253 (multiplicity 4)
Au 0.219 0.062 0.410 (multiplicity 8)

Values from the calculation:
distance to the lowest polymorph of the same formula: 0.0 meV/atom
energy relative to the elements: -12.7 kJ/mol of formula units

Computed, not measured: a crystal of Mg3PtBr relaxed with PBEsol at the SCAN level of DFT.

Lattice parameters (Å, degrees): 4.836 4.836 4.836 90.00 90.00 90.00
Space group Pm-3m (No. 221)
Unique sites:
Mg 0.000 0.000 0.500 (multiplicity 3)
Pt 0.500 0.500 0.500 (multiplicity 1)
Br 0.000 0.000 0.000 (multiplicity 1)

Values from the calculation:
formation energy without anion corrections: 349 meV per atom

Computed, not measured: a crystal of TaNbRe3 relaxed with PBEsol at the SCAN level of DFT.

Lattice parameters (Å, degrees): 4.640 4.640 4.640 90.00 90.00 90.00
Space group Pm-3m (No. 221)
Unique sites:
Ta 0.000 0.000 0.000 (multiplicity 1)
Nb 0.500 0.500 0.500 (multiplicity 1)
Re 0.000 0.000 0.500 (multiplicity 3)

Values from the calculation:
distance to the lowest polymorph of the same formula: 0.0 meV/atom
energy relative to the elements: 998.9 kJ/mol of formula units

Computed magnetic moment (μB/cell) in order:
0.00; 0.00; 0.00; 0.00